[1]
## NaBi4Pd4 (PBE)

Data for crystalline NaBi4Pd4 at its relaxed geometry.

The calculation puts the calculated density at 8.90 g/cm³. The calculated volume is 479.6 Å³ per cell. Its calculated formation energy is -0.214 eV per atom. As for the total magnetization: 0.00 μB per cell.

Lattice parameters (Å, degrees): 5.5808 9.2698 9.2698 90.00 90.00 90.00
Sites, in units of the cell vectors:
Bi 0.5932 0.8811 0.6498
Bi 0.4068 0.6498 0.1189
Bi 0.4068 0.3502 0.8811
Bi 0.5932 0.1189 0.3502
Bi 0.9068 0.6189 0.8502
Bi 0.0932 0.8502 0.3811
Bi 0.9068 0.3811 0.1498
Bi 0.0932 0.1498 0.6189
Pd 0.5944 0.1949 0.6423
Pd 0.0944 0.1423 0.3051
Pd 0.9056 0.6949 0.1423
Pd 0.9056 0.3051 0.8577
Pd 0.4056 0.6423 0.8051
Pd 0.4056 0.3577 0.1949
Pd 0.5944 0.8051 0.3577
Pd 0.0944 0.8577 0.6949
Na 0.0000 0.0000 0.0000
Na 0.5000 0.5000 0.5000

---

[2]
## BeRe3As (PBE)

Data for crystalline BeRe3As at its relaxed geometry.

Its energy above the most stable polymorph in this dataset is 0.0000 eV per atom. The calculation puts the calculated density at 14.47 g/cm³. The calculated volume is 73.7 Å³ per cell. Its calculated formation energy is 1.107 eV per atom. As for the total magnetization: 1.22 μB per cell.

Lattice parameters (Å, degrees): 4.1935 4.1935 4.1935 90.00 90.00 90.00
Last column: magnetic moment on the atom in μB.
Sites, in units of the cell vectors:
Re 0.0000 0.5000 0.0000  0.30
Re 0.0000 0.0000 0.5000  0.50
Re 0.5000 0.0000 0.0000  0.27
As 0.5000 0.5000 0.5000  0.03
Be 0.0000 0.0000 0.0000  -0.01

---

[3]
## Cs4Tb3TlO8 (PBE)

Data for crystalline Cs4Tb3TlO8 at its relaxed geometry.

The calculation puts the calculated density at 7.26 g/cm³. The calculated volume is 306.8 Å³ per cell. The value obtained for the raw formation energy is -2168 meV/atom. As for the total magnetization: 0.00 μB per cell.

Lattice parameters (Å, degrees): 7.1660 8.0430 7.1663 116.45 120.00 90.00
Sites, in units of the cell vectors:
Cs 0.5000 0.0000 0.0000
Cs 0.5000 0.0000 0.5000
Cs 0.0000 0.0000 0.5000
Cs 0.0000 0.0000 0.0000
O 0.7154 0.6707 0.9430
O 0.2278 0.6708 0.4557
O 0.2789 0.3367 0.5578
O 0.2846 0.3293 0.0570
O 0.2276 0.6707 0.9430
O 0.7722 0.3292 0.5443
O 0.7724 0.3293 0.0570
O 0.7211 0.6633 0.4422
Tb 0.0000 0.5000 0.5000
Tb 0.5000 0.5000 0.0000
Tb 0.5000 0.5000 0.5000
Tl 0.0000 0.5000 0.0000

---

[4]
## SrLaSe2 (PBE)

Data for crystalline SrLaSe2 at its relaxed geometry.

Its energy above the most stable polymorph in this dataset is 0.1978 eV per atom. The calculation puts the calculated density at 5.33 g/cm³. The calculated volume is 119.8 Å³ per cell. The value obtained for the raw formation energy is -1803 meV/atom. As for the total magnetization: 0.00 μB per cell.

Lattice parameters (Å, degrees): 8.0008 8.0005 8.0005 151.04 151.03 41.42
Sites, in units of the cell vectors:
La 0.7954 0.2954 0.5000
Sr 0.5436 0.5436 0.0000
Se 0.9513 0.9513 0.0000
Se 0.2098 0.7097 0.5000

---

[5]
## Tb2YMg (PBE)

Data for crystalline Tb2YMg at its relaxed geometry.

Its energy above the most stable polymorph in this dataset is 0.0095 eV per atom. The calculation puts the calculated density at 5.96 g/cm³. The calculated volume is 120.0 Å³ per cell. Its calculated formation energy is -0.026 eV per atom. As for the total magnetization: 0.00 μB per cell.

Lattice parameters (Å, degrees): 3.6220 3.6220 9.1503 90.00 90.00 90.00
Sites, in units of the cell vectors:
Tb 0.0000 0.0000 0.2312
Tb 0.0000 0.0000 0.7688
Y 0.5000 0.5000 0.5000
Mg 0.5000 0.5000 0.0000

---

[6]
## CaTb2Pm2 (PBE)

Data for crystalline CaTb2Pm2 at its relaxed geometry.

The calculation puts the calculated density at 6.24 g/cm³. The calculated volume is 172.4 Å³ per cell. Its calculated formation energy is 0.034 eV per atom. As for the total magnetization: 0.00 μB per cell.

Lattice parameters (Å, degrees): 3.6359 3.6359 15.2040 83.13 83.13 60.00
Sites, in units of the cell vectors:
Pm 0.4046 0.4046 0.7861
Pm 0.5954 0.5954 0.2139
Tb 0.1988 0.1988 0.4035
Tb 0.8012 0.8012 0.5965
Ca 0.0000 0.0000 0.0000

---

[7]
## Mg6TlPb2 (PBE)

Data for crystalline Mg6TlPb2 at its relaxed geometry.

Its energy above the most stable polymorph in this dataset is 0.0000 eV per atom. The calculation puts the calculated density at 5.69 g/cm³. The calculated volume is 446.0 Å³ per cell. Its calculated formation energy is -0.052 eV per atom. As for the total magnetization: 0.00 μB per cell.

Lattice parameters (Å, degrees): 4.7771 9.6628 9.6616 90.00 90.00 90.00
Sites, in units of the cell vectors:
Mg 0.0000 0.0162 0.1606
Mg 0.5000 0.8394 0.0162
Mg 0.5000 0.8519 0.3520
Mg 0.0000 0.6481 0.8520
Mg 0.5000 0.4838 0.6606
Mg 0.5000 0.1606 0.9838
Mg 0.0000 0.6606 0.5162
Mg 0.0000 0.3394 0.4838
Mg 0.0000 0.3519 0.1480
Mg 0.0000 0.9838 0.8394
Mg 0.5000 0.5162 0.3394
Mg 0.5000 0.1481 0.6480
Tl 0.5000 0.5000 0.0000
Tl 0.0000 0.0000 0.5000
Pb 0.5000 0.8090 0.6910
Pb 0.0000 0.6910 0.1910
Pb 0.0000 0.3090 0.8090
Pb 0.5000 0.1910 0.3090

---

[8]
## AcCu2H8Ir (PBE)

Data for crystalline AcCu2H8Ir at its relaxed geometry.

The calculation puts the calculated density at 7.84 g/cm³. The calculated volume is 117.4 Å³ per cell. The calculated total energy is -4.275 eV/atom. As for the total magnetization: 0.00 μB per cell.

Lattice parameters (Å, degrees): 4.7925 4.8417 6.8517 47.65 90.42 91.49
Sites, in units of the cell vectors:
H 0.8935 0.3210 0.6844
H 0.8334 0.6638 0.0299
H 0.1666 0.3362 0.9701
H 0.1065 0.6790 0.3156
H 0.2828 0.8720 0.9264
H 0.5052 0.2535 0.4822
H 0.4948 0.7465 0.5178
H 0.7172 0.1280 0.0736
Ac 0.0000 0.0000 0.5000
Cu 0.4981 0.7306 0.2620
Cu 0.5019 0.2694 0.7380
Ir 0.0000 0.0000 0.0000

---

[9]
## Cs3YRu (PBE)

Data for crystalline Cs3YRu at its relaxed geometry.

Its energy above the most stable polymorph in this dataset is 0.0000 eV per atom. The calculation puts the calculated density at 4.31 g/cm³. The calculated volume is 227.1 Å³ per cell. Its calculated formation energy is 1.359 eV per atom. As for the total magnetization: 0.00 μB per cell.

Lattice parameters (Å, degrees): 6.1007 6.1007 6.1007 90.00 90.00 90.00
Sites, in units of the cell vectors:
Cs 0.0000 0.5000 0.0000
Cs 0.0000 0.0000 0.5000
Cs 0.5000 0.0000 0.0000
Ru 0.0000 0.0000 0.0000
Y 0.5000 0.5000 0.5000

---

[10]
## PaNiPbS3 (PBE)

Data for crystalline PaNiPbS3 at its relaxed geometry.

The calculation puts the calculated density at 7.37 g/cm³. The calculated volume is 267.3 Å³ per cell. The value obtained for the raw formation energy is -992 meV/atom. As for the total magnetization: 1.64 μB per cell.

Lattice parameters (Å, degrees): 3.8603 7.0064 10.2807 90.00 90.00 105.99
Last column: magnetic moment on the atom in μB.
Sites, in units of the cell vectors:
Pb 0.7768 0.5536 0.7500  0.02
Pb 0.2232 0.4464 0.2500  0.02
Pa 0.0000 0.0000 0.0000  0.65
Pa 0.0000 0.0000 0.5000  0.65
S 0.0564 0.1129 0.7500  -0.01
S 0.6355 0.2711 0.0583  -0.01
S 0.6355 0.2711 0.4417  -0.01
S 0.3645 0.7289 0.5583  -0.01
S 0.3645 0.7289 0.9417  -0.01
S 0.9436 0.8871 0.2500  -0.01
Ni 0.4496 0.8992 0.7500  0.01
Ni 0.5504 0.1008 0.2500  0.01

---

[11]
## InBTe2 (PBE)

Data for crystalline InBTe2 at its relaxed geometry.

Its energy above the most stable polymorph in this dataset is 0.0000 eV per atom. The calculation puts the calculated density at 5.73 g/cm³. The calculated volume is 220.9 Å³ per cell. The value obtained for the raw formation energy is 216 meV/atom. As for the total magnetization: 0.00 μB per cell.

Lattice parameters (Å, degrees): 7.2518 7.2518 6.6285 56.84 56.84 90.00
Sites, in units of the cell vectors:
B 0.5000 0.5000 0.0000
B 0.2500 0.7500 0.5000
Te 0.2367 0.6250 0.2500
Te 0.5133 0.1250 0.2500
Te 0.8750 0.7633 0.7500
Te 0.3750 0.4867 0.7500
In 0.7500 0.2500 0.5000
In 0.0000 0.0000 0.0000

---

Please write out number 6 again, unchanged.
## CaTb2Pm2 (PBE)

Data for crystalline CaTb2Pm2 at its relaxed geometry.

The calculation puts the calculated density at 6.24 g/cm³. The calculated volume is 172.4 Å³ per cell. Its calculated formation energy is 0.034 eV per atom. As for the total magnetization: 0.00 μB per cell.

Lattice parameters (Å, degrees): 3.6359 3.6359 15.2040 83.13 83.13 60.00
Sites, in units of the cell vectors:
Pm 0.4046 0.4046 0.7861
Pm 0.5954 0.5954 0.2139
Tb 0.1988 0.1988 0.4035
Tb 0.8012 0.8012 0.5965
Ca 0.0000 0.0000 0.0000